This record from Alexandria describes a relaxed structure of CaTaSb2O8. The functional is PBE.

```
CaTaSb2O8
1.0
-1.409 3.294 3.336
-2.829 -3.280 2.280
5.072 -1.711 3.832
O Ta Sb Ca
8 1 2 1
direct
0.199 0.800 0.781
0.801 0.200 0.781
0.199 0.800 0.219
0.323 0.323 0.500
0.301 0.300 0.000
0.677 0.677 0.500
0.699 0.700 0.000
0.801 0.200 0.219
0.000 0.000 0.000
0.500 0.500 0.250
0.500 0.500 0.750
0.000 0.000 0.500
```

Values from the calculation:
Symmetry: No. 65
Formation energy from raw total energies: -2.0747 eV/atom